An optimized crystal structure of NbIrOs2. Source: the Alexandria database, functional PBE.

Formation enthalpy at 0 K   0.50 eV per atom
E above lowest polymorph   756 meV/atom
Calculated density   16.2 g/cm³

Cell lengths 9.456, 9.456, 9.456 Å; angles 156.32, 156.32, 33.73 degrees
Sites, in units of the cell vectors:
Nb 0.000 0.000 0.000
Nb 0.750 0.250 0.500
Ir 0.250 0.750 0.500
Ir 0.500 0.500 0.000
Os 0.166 0.625 0.041
Os 0.375 0.416 0.541
Os 0.584 0.125 0.959
Os 0.875 0.834 0.459

An optimized crystal structure of AcPrHg. Source: the Alexandria database, functional PBE.

Formation enthalpy at 0 K   -0.30 eV per atom
E above lowest polymorph   0 meV/atom
Calculated density   9.1 g/cm³

Cell lengths 7.200, 7.200, 7.200 Å; angles 148.20, 148.20, 45.60 degrees
Sites, in units of the cell vectors:
Ac 0.000 0.000 0.000
Pr 0.298 0.298 0.000
Hg 0.664 0.664 0.000

An optimized crystal structure of Hf2SiHg. Source: the Alexandria database, functional PBE.

ΔE_f (raw)   20 meV per atom
E above lowest polymorph   103 meV/atom
Calculated density   11.6 g/cm³

Cell lengths 6.086, 6.086, 6.086 Å; angles 103.92, 103.92, 121.25 degrees
Sites, in units of the cell vectors:
Hf 0.105 0.625 0.980
Hf 0.375 0.355 0.480
Hf 0.645 0.125 0.020
Hf 0.875 0.895 0.520
Si 0.000 0.000 0.000
Si 0.750 0.250 0.500
Hg 0.250 0.750 0.500
Hg 0.500 0.500 0.000

An optimized crystal structure of SnBiPdAu. Source: the Alexandria database, functional PBE.

Formation enthalpy at 0 K   -0.12 eV per atom
Calculated density   11.9 g/cm³

Cell lengths 4.991, 4.991, 4.991 Å; angles 60.00, 60.00, 60.00 degrees
Sites, in units of the cell vectors:
Sn 0.000 0.000 0.000
Bi 0.500 0.500 0.500
Pd 0.750 0.750 0.750
Au 0.250 0.250 0.250

An optimized crystal structure of Na3B4C2. Source: the Alexandria database, functional PBE.

Formation enthalpy at 0 K   0.13 eV per atom
E above lowest polymorph   33 meV/atom
Calculated density   2.5 g/cm³

Cell lengths 2.881, 2.881, 25.566 Å; angles 90.00, 90.00, 120.00 degrees
Sites, in units of the cell vectors:
Na 0.000 0.000 0.000
Na 0.000 0.000 0.164
Na 0.000 0.000 0.329
Na 0.000 0.000 0.500
Na 0.000 0.000 0.671
Na 0.000 0.000 0.836
B 0.333 0.667 0.246
B 0.333 0.667 0.414
B 0.333 0.667 0.586
B 0.333 0.667 0.918
B 0.667 0.333 0.082
B 0.667 0.333 0.414
B 0.667 0.333 0.586
B 0.667 0.333 0.754
C 0.333 0.667 0.082
C 0.333 0.667 0.754
C 0.667 0.333 0.246
C 0.667 0.333 0.918

An optimized crystal structure of PaCrNi. Source: the Alexandria database, functional PBE.

Formation enthalpy at 0 K   0.01 eV per atom
Calculated density   11.3 g/cm³

Cell lengths 4.053, 4.053, 7.086 Å; angles 90.00, 90.00, 120.00 degrees
Sites, in units of the cell vectors:
Pa 0.000 0.000 0.243
Pa 0.000 0.000 0.757
Cr 0.333 0.667 0.457
Cr 0.667 0.333 0.543
Ni 0.333 0.667 0.050
Ni 0.667 0.333 0.950

Please write out number 3 again, unchanged.
An optimized crystal structure of Hf2SiHg. Source: the Alexandria database, functional PBE.

ΔE_f (raw)   20 meV per atom
E above lowest polymorph   103 meV/atom
Calculated density   11.6 g/cm³

Cell lengths 6.086, 6.086, 6.086 Å; angles 103.92, 103.92, 121.25 degrees
Sites, in units of the cell vectors:
Hf 0.105 0.625 0.980
Hf 0.375 0.355 0.480
Hf 0.645 0.125 0.020
Hf 0.875 0.895 0.520
Si 0.000 0.000 0.000
Si 0.750 0.250 0.500
Hg 0.250 0.750 0.500
Hg 0.500 0.500 0.000

> Look up the calculated density of the fourth one.

11.9 g/cm³

> What is the calculated density in the sixth record?

11.3 g/cm³